DFT (PBE) results for a geometry-optimized Cd2OsW structure.

Cell lengths 5.598, 5.238, 2.768 Å; angles 80.00, 80.44, 115.14 degrees
Element x y z (fractional)
Cd  0.000  0.500  0.500
Os  0.500  0.500  0.000
Cd  0.000  0.000  0.000
W  0.500  0.000  0.500

Results
- relative energy among the computed polymorphs (eV per formula unit) = 1.82
- total magnetization (Bohr magnetons per cell) = 0.002
- energy (eV per atom) = -5.800
- energy of formation (kcal/mol of atoms) = 16.21

***

DFT (PBE) results for a geometry-optimized CdOsW3 structure.

Cell lengths 4.779, 4.779, 4.779 Å; angles 90.00, 90.00, 90.00 degrees
Element x y z (fractional)
Cd  0.500  0.500  0.500
W  0.000  0.500  0.000
W  0.000  0.000  0.500
W  0.500  0.000  0.000
Os  0.000  0.000  0.000

Results
- relative energy among the computed polymorphs (eV per formula unit) = 0.00
- total magnetization (Bohr magnetons per cell) = 0.000
- energy (eV per atom) = -8.344
- energy of formation (kcal/mol of atoms) = 42.81

***

DFT (PBE) results for a geometry-optimized Cd2OsW structure.

Cell lengths 4.596, 4.596, 4.596 Å; angles 60.00, 60.00, 60.00 degrees
Element x y z (fractional)
Os  0.500  0.500  0.500
Cd  0.750  0.750  0.750
W  0.000  0.000  0.000
Cd  0.250  0.250  0.250

Results
- relative energy among the computed polymorphs (eV per formula unit) = 3.32
- total magnetization (Bohr magnetons per cell) = 0.001
- energy (eV per atom) = -5.425
- energy of formation (kcal/mol of atoms) = 24.87

***

DFT (PBE) results for a geometry-optimized Cd2OsW structure.

Cell lengths 4.795, 4.795, 5.410 Å; angles 82.99, 82.99, 34.89 degrees
Site moments in Bohr magnetons follow the coordinates.
Element x y z (fractional)
Cd  0.999  0.999  0.991  0.00
Cd  0.754  0.754  0.760  0.00
W  0.246  0.246  0.288  0.02
Os  0.501  0.501  0.461  0.29

Results
- relative energy among the computed polymorphs (eV per formula unit) = 1.31
- total magnetization (Bohr magnetons per cell) = 0.344
- energy (eV per atom) = -5.927
- energy of formation (kcal/mol of atoms) = 13.29

***

DFT (PBE) results for a geometry-optimized CdOs2W structure.

Cell lengths 2.771, 2.771, 8.435 Å; angles 90.00, 90.00, 90.00 degrees
Element x y z (fractional)
Os  0.500  0.500  0.231
W  0.000  0.000  0.482
Cd  0.500  0.500  0.761
Os  0.000  0.000  0.026

Results
- total magnetization (Bohr magnetons per cell) = 0.000
- energy (eV per atom) = -8.715
- energy of formation (kcal/mol of atoms) = 8.46

***

DFT (PBE) results for a geometry-optimized Cd2OsW structure.

Cell lengths 4.871, 2.787, 5.208 Å; angles 80.37, 90.00, 90.00 degrees
Site moments in Bohr magnetons follow the coordinates.
Element x y z (fractional)
W  0.500  0.750  0.750  0.03
Cd  0.000  0.459  0.496  0.00
Os  0.500  0.250  0.250  0.35
Cd  0.000  0.041  0.004  0.00

Results
- relative energy among the computed polymorphs (eV per formula unit) = 1.79
- total magnetization (Bohr magnetons per cell) = 0.404
- energy (eV per atom) = -5.807
- energy of formation (kcal/mol of atoms) = 16.06

***

DFT (PBE) results for a geometry-optimized CdOsW4 structure.

Cell lengths 5.267, 5.267, 5.267 Å; angles 60.00, 60.00, 60.00 degrees
Element x y z (fractional)
Cd  0.250  0.250  0.250
W  0.129  0.624  0.624
W  0.624  0.624  0.624
Os  0.000  0.000  0.000
W  0.624  0.624  0.129
W  0.624  0.129  0.624

Results
- total magnetization (Bohr magnetons per cell) = 0.000
- energy (eV per atom) = -10.005
- energy of formation (kcal/mol of atoms) = 15.09

***

DFT (PBE) results for a geometry-optimized CdOsW2 structure.

Cell lengths 6.217, 5.002, 2.811 Å; angles 89.77, 63.53, 119.74 degrees
Element x y z (fractional)
Os  0.500  0.500  0.000
W  0.000  0.000  0.000
Cd  0.000  0.500  0.500
W  0.500  0.000  0.500

Results
- total magnetization (Bohr magnetons per cell) = 0.000
- energy (eV per atom) = -8.959
- energy of formation (kcal/mol of atoms) = 12.77

***

DFT (PBE) results for a geometry-optimized CdOsW2 structure.

Cell lengths 4.926, 4.926, 4.926 Å; angles 131.61, 131.61, 70.84 degrees
Element x y z (fractional)
W  0.000  0.000  0.000
W  0.250  0.750  0.500
Cd  0.500  0.500  0.000
Os  0.750  0.250  0.500

Results
- total magnetization (Bohr magnetons per cell) = 0.000
- energy (eV per atom) = -8.899
- energy of formation (kcal/mol of atoms) = 14.16

***

DFT (PBE) results for a geometry-optimized CdOs2W structure.

Cell lengths 2.744, 2.744, 9.619 Å; angles 90.00, 90.00, 116.05 degrees
Element x y z (fractional)
Os  0.500  0.500  0.250
Cd  0.500  0.500  0.754
Os  0.000  0.000  0.013
W  0.000  0.000  0.483

Results
- total magnetization (Bohr magnetons per cell) = 0.001
- energy (eV per atom) = -8.461
- energy of formation (kcal/mol of atoms) = 14.31

***

DFT (PBE) results for a geometry-optimized CdOsW2 structure.

Cell lengths 5.012, 5.012, 4.923 Å; angles 77.82, 77.82, 33.45 degrees
Element x y z (fractional)
W  0.993  0.993  0.006
W  0.737  0.737  0.770
Os  0.266  0.266  0.226
Cd  0.504  0.504  0.497

Results
- total magnetization (Bohr magnetons per cell) = 0.000
- energy (eV per atom) = -9.010
- energy of formation (kcal/mol of atoms) = 11.60

***

DFT (PBE) results for a geometry-optimized CdOsW2 structure.

Cell lengths 4.531, 4.531, 4.531 Å; angles 60.00, 60.00, 60.00 degrees
Element x y z (fractional)
W  0.000  0.000  0.000
Os  0.750  0.750  0.750
W  0.250  0.250  0.250
Cd  0.500  0.500  0.500

Results
- total magnetization (Bohr magnetons per cell) = 0.000
- energy (eV per atom) = -8.902
- energy of formation (kcal/mol of atoms) = 14.09

***

Question: total magnetization of number 11 (CdOsW2)?
Answer: 0.000 Bohr magnetons per cell

***

Question: Which formula does entry 12 have?
Answer: CdOsW2

***

Question: energy of number 3 (Cd2OsW)?
Answer: -5.425 eV per atom